First-principles (PBE-GGA) data for crystalline Sm5HS4 at its relaxed geometry, as listed in Alexandria via LeMat-Bulk.

## Properties
- Total magnetization: 0.00 μB per formula unit
- Calculated density: 6725 kg/m3
- Final energy: -6.0071 eV per atom

Cell: 3.9309 3.9309 48.7745 Å, 90.00 90.00 120.00°
Space group R-3m (No. 166, hexagonal axes)
Unique sites:
Sm: 0.0000 0.0000 0.0000 [3 per cell]
Sm: 0.0000 0.0000 0.1965 [6 per cell]
Sm: 0.0000 0.0000 0.4030 [6 per cell]
H: 0.0000 0.0000 0.5000 [3 per cell]
S: 0.0000 0.0000 0.1031 [6 per cell]
S: 0.0000 0.0000 0.2987 [6 per cell]

***

First-principles (PBE-GGA) data for crystalline Sm4HS5 at its relaxed geometry, as listed in Alexandria via LeMat-Bulk.

## Properties
- Total magnetization: 0.00 μB per formula unit
- Calculated density: 5044 kg/m3
- Final energy: -5.9727 eV per atom

Cell: 18.5717 3.9802 7.4069 Å, 90.00 113.46 90.00°
Space group C2/m (No. 12)
Unique sites:
Sm: 0.0000 0.0000 0.2472 [4 per cell]
Sm: 0.2201 0.5000 0.7201 [4 per cell]
H: 0.0000 0.5000 0.5000 [2 per cell]
S: 0.0000 0.5000 0.0000 [2 per cell]
S: 0.1627 0.0000 0.4296 [4 per cell]
S: 0.1627 0.0000 0.8961 [4 per cell]

***

First-principles (PBE-GGA) data for crystalline SmHS at its relaxed geometry, as listed in Alexandria via LeMat-Bulk.

## Properties
- Total magnetization: 0.00 μB per formula unit
- Calculated density: 4951 kg/m3
- Final energy: -5.3283 eV per atom

Cell: 6.2667 6.2667 6.2667 Å, 90.00 90.00 90.00°
Space group F-43m (No. 216)
Unique sites:
Sm: 0.0000 0.0000 0.0000 [4 per cell]
H: 0.2500 0.2500 0.2500 [4 per cell]
S: 0.2500 0.2500 0.7500 [4 per cell]